1.
VASP calculation (PBE) on a relaxed Ba2CaPt crystal.

Results
Formation energy (eV per atom): -0.042
Calculated total energy (eV per atom): -3.014
Total magnetic moment (μB per atom): 0.0000
Crystal system: tetragonal

Cell lengths 4.9992, 4.9992, 10.9517 Å; angles 90.00, 90.00, 90.00 degrees
Space group I4/mmm (No. 139)
Inequivalent atoms, fractional coordinates:
Ba1 0.0000 0.5000 0.2500
Ca1 0.0000 0.0000 0.0000
Pt1 0.0000 0.0000 0.5000


2.
VASP calculation (PBE) on a relaxed Ba2Ga6Ir crystal.

Results
Formation energy (eV per atom): -0.369
Calculated total energy (eV per atom): -3.799
Total magnetic moment (μB per atom): 0.0000
Crystal system: cubic

Cell lengths 9.3196, 9.3196, 9.3196 Å; angles 90.00, 90.00, 90.00 degrees
Space group Fm-3m (No. 225)
Inequivalent atoms, fractional coordinates:
Ba1 0.2500 0.2500 0.2500
Ga1 0.0000 0.0000 0.2159
Ir1 0.0000 0.0000 0.5000


3.
VASP calculation (PBE) on a relaxed SrTiCr3 crystal.

Results
Formation energy (eV per atom): 1.064
Calculated total energy (eV per atom): -6.625
Total magnetic moment (μB per atom): 1.9614
Crystal system: cubic

Cell lengths 4.8241, 4.8241, 4.8241 Å; angles 90.00, 90.00, 90.00 degrees
Space group Pm-3m (No. 221)
Inequivalent atoms, fractional coordinates:
Sr1 0.0000 0.0000 0.0000
Ti1 0.5000 0.5000 0.5000
Cr1 0.0000 0.5000 0.5000


4.
VASP calculation (PBE) on a relaxed Al2SbBr crystal.

Results
Calculated total energy (eV per atom): -3.231
Total magnetic moment (μB per atom): 0.0000
Energy relative to the elements, uncorrected (eV per atom): 0.0886
Crystal system: cubic

Cell lengths 7.1412, 7.1412, 7.1412 Å; angles 90.00, 90.00, 90.00 degrees
Space group Fm-3m (No. 225)
Inequivalent atoms, fractional coordinates:
Al1 0.2500 0.2500 0.2500
Sb1 0.0000 0.0000 0.0000
Br1 0.0000 0.0000 0.5000


5.
VASP calculation (PBE) on a relaxed DyY7Tm12 crystal.

Results
Formation energy (eV per atom): 0.759
Calculated total energy (eV per atom): -4.416
Total magnetic moment (μB per atom): 0.0000
Crystal system: cubic

Cell lengths 11.1240, 11.1240, 11.1240 Å; angles 90.00, 90.00, 90.00 degrees
Space group Im-3m (No. 229)
Inequivalent atoms, fractional coordinates:
Dy1 0.0000 0.0000 0.0000
Y1 0.0000 0.0000 0.5000
Y2 0.2500 0.2500 0.2500
Tm1 0.0000 0.2485 0.2485


6.
VASP calculation (PBE) on a relaxed Li2ScI crystal.

Results
Calculated total energy (eV per atom): -3.011
Total magnetic moment (μB per atom): 0.0000
Energy relative to the elements, uncorrected (eV per atom): -0.0837
Crystal system: tetragonal

Cell lengths 8.2431, 8.2431, 5.8012 Å; angles 90.00, 90.00, 90.00 degrees
Space group I-42d (No. 122)
Inequivalent atoms, fractional coordinates:
Li1 0.2071 0.7500 0.1250
Sc1 0.0000 0.0000 0.5000
I1 0.0000 0.0000 0.0000


7.
VASP calculation (PBE) on a relaxed CaSbP2 crystal.

Results
Calculated total energy (eV per atom): -4.612
Total magnetic moment (μB per atom): 0.0000
Energy relative to the elements, uncorrected (eV per atom): -0.3766
Crystal system: tetragonal

Cell lengths 3.9779, 3.9779, 6.1435 Å; angles 90.00, 90.00, 90.00 degrees
Space group P4mm (No. 99)
Inequivalent atoms, fractional coordinates:
Ca1 0.0000 0.0000 0.0000
Sb1 0.5000 0.5000 0.4236
P1 0.0000 0.0000 0.5055
P2 0.5000 0.5000 0.0177


8.
VASP calculation (PBE) on a relaxed Ce6PuAs2 crystal.

Results
Formation energy (eV per atom): -0.617
Calculated total energy (eV per atom): -7.199
Total magnetic moment (μB per atom): 0.0000
Crystal system: monoclinic

Cell lengths 6.3116, 9.0372, 9.1976 Å; angles 90.00, 120.02, 90.00 degrees
Space group P2_1/c (No. 14)
Inequivalent atoms, fractional coordinates:
Ce1 0.1241 0.1237 0.4644
Ce2 0.3172 0.7481 0.9367
Ce3 0.3397 0.0278 0.1981
Pu1 0.5000 0.0000 0.5000
As1 0.1884 0.0837 0.8274


9.
VASP calculation (PBE) on a relaxed Y4TeAsS2 crystal.

Results
Calculated total energy (eV per atom): -6.958
Total magnetic moment (μB per atom): 0.0000
Energy relative to the elements, uncorrected (eV per atom): -1.7202
Crystal system: monoclinic

Cell lengths 7.0804, 4.0518, 7.1299 Å; angles 90.00, 108.96, 90.00 degrees
Space group P2/m (No. 10)
Inequivalent atoms, fractional coordinates:
Y1 0.2198 0.0000 0.2201
Y2 0.2361 0.5000 0.7640
Te1 0.5000 0.5000 0.5000
As1 0.5000 0.0000 0.0000
S1 0.0000 0.0000 0.5000
S2 0.0000 0.5000 0.0000


10.
VASP calculation (PBE) on a relaxed Sm3Pu3ScS8 crystal.

Results
Calculated total energy (eV per atom): -8.355
Total magnetic moment (μB per atom): 1.1241
Energy relative to the elements, uncorrected (eV per atom): -1.9214
Crystal system: trigonal

Cell lengths 7.9304, 7.9304, 19.2968 Å; angles 90.00, 90.00, 120.00 degrees
Space group R-3m (No. 166, hexagonal axes)
Inequivalent atoms, fractional coordinates:
Sm1 0.0000 0.5000 0.0000
Pu1 0.0000 0.5000 0.5000
Sc1 0.0000 0.0000 0.0000
S1 0.0000 0.0000 0.2479
S2 0.0172 0.5086 0.7471


11.
VASP calculation (PBE) on a relaxed Pb2BrCl2 crystal.

Results
Calculated total energy (eV per atom): -3.295
Total magnetic moment (μB per atom): 0.0000
Energy relative to the elements, uncorrected (eV per atom): -0.7388
Crystal system: tetragonal

Cell lengths 8.5340, 8.5340, 3.9154 Å; angles 90.00, 90.00, 90.00 degrees
Space group P4/mbm (No. 127)
Inequivalent atoms, fractional coordinates:
Pb1 0.1632 0.3368 0.0000
Br1 0.0000 0.0000 0.0000
Cl1 0.1458 0.6458 0.5000


12.
VASP calculation (PBE) on a relaxed RbCeSm4Se8 crystal.

Results
Calculated total energy (eV per atom): -5.545
Total magnetic moment (μB per atom): 0.0720
Energy relative to the elements, uncorrected (eV per atom): -1.7121
Crystal system: trigonal

Cell lengths 8.7898, 8.7898, 21.7900 Å; angles 90.00, 90.00, 120.00 degrees
Space group R3m (No. 160, hexagonal axes)
Inequivalent atoms, fractional coordinates:
Rb1 0.0000 0.0000 0.0000
Ce1 0.0000 0.0000 0.6294
Sm1 0.0000 0.0000 0.2515
Sm2 0.1725 0.3450 0.4579
Se1 0.0000 0.0000 0.3833
Se2 0.0000 0.0000 0.8585
Se3 0.0460 0.5230 0.3828
Se4 0.1751 0.3502 0.2056